Density functional theory data (PBE+U) for a geometry-optimized SrNdZrNiO6 structure.

Geometry as extended XYZ:
```
10
Lattice="0.000 4.002 4.002 4.002 0.000 4.002 4.002 4.002 0.000" Properties=species:S:1:pos:R:3 pbc="T T T"
Sr 0.000 0.000 0.000
Nd 4.002 4.002 4.002
Zr 6.004 6.004 6.004
Ni 2.001 2.001 2.001
O 2.001 2.001 0.058
O 2.001 0.058 2.001
O 3.944 2.001 2.001
O 0.058 2.001 2.001
O 2.001 3.944 2.001
O 2.001 2.001 3.944
```

Output
Symmetry: F-43m (216)

---

Density functional theory data (PBE+U) for a geometry-optimized Nd2TlNiO6 structure.

Geometry as extended XYZ:
```
20
Lattice="5.618 0.000 0.000 0.000 5.790 0.000 -4.971 0.000 8.337" Properties=species:S:1:pos:R:3 pbc="T T T"
Nd 0.008 0.364 2.003
Nd -2.478 2.531 6.172
Nd 3.125 3.259 2.165
Nd 0.639 5.426 6.334
Tl 2.809 0.000 0.000
Tl 0.324 2.895 4.169
Ni -2.486 0.000 4.169
Ni 0.000 2.895 0.000
O -4.013 1.279 7.813
O -1.528 1.616 3.645
O -3.499 3.973 7.737
O -1.013 4.712 3.569
O -1.629 0.257 6.222
O 0.857 2.638 2.054
O -0.210 3.152 6.284
O 2.276 5.533 2.115
O 1.660 1.078 4.769
O 4.146 1.817 0.600
O 2.175 4.174 4.693
O 4.660 4.511 0.524
```

Output
Symmetry: P2_1/c (14)

---

Density functional theory data (PBE+U) for a geometry-optimized Nd2VNiO6 structure.

Geometry as extended XYZ:
```
20
Lattice="5.459 0.000 0.000 0.000 5.628 0.000 -5.365 0.000 7.837" Properties=species:S:1:pos:R:3 pbc="T T T"
Nd -0.049 0.320 1.938
Nd -2.731 2.494 5.856
Nd 2.825 3.134 1.981
Nd 0.142 5.308 5.899
V 2.729 0.000 0.000
V 0.047 2.814 3.919
Ni -2.682 0.000 3.919
Ni 0.000 2.814 0.000
O -4.235 1.117 7.460
O -1.553 1.697 3.541
O -3.671 4.043 7.463
O -0.989 4.399 3.544
O -2.161 0.145 5.913
O 0.522 2.669 1.995
O -0.428 2.959 5.842
O 2.255 5.482 1.924
O 1.083 1.229 4.293
O 3.765 1.585 0.374
O 1.647 3.931 4.296
O 4.329 4.511 0.377
```

Output
Symmetry: P2_1/c (14)

---

How do the records compare in uncorrected energy? In the order shown, they have -7.2322 -6.4176 -7.5064 eV per atom.